(1)
Material: K3GeN
Method: DFT, PBE
State: optimized geometry

Calculated values
Energy above the lowest structure with this stoichiometry   0.000 eV/atom
Uncorrected formation energy   0.604 eV per atom
Size of the total moment   4.00 μB/f.u.

```
data_K3GeN
_symmetry_space_group_name_H-M 'P m -3 m'
_symmetry_Int_Tables_number 221
_symmetry_space_group_name_Hall '-P 4 2 3'
_cell_length_a 5.5226
_cell_length_b 5.5226
_cell_length_c 5.5226
_cell_angle_alpha 90.00
_cell_angle_beta 90.00
_cell_angle_gamma 90.00
loop_
_atom_site_label
_atom_site_fract_x
_atom_site_fract_y
_atom_site_fract_z
K1 0.0000 0.0000 0.5000
Ge1 0.5000 0.5000 0.5000
N1 0.0000 0.0000 0.0000
```

(2)
Material: SrPmAl4
Method: DFT, PBE
State: optimized geometry

Calculated values
ΔE_f   -361 meV per atom
Size of the total moment   0.00 μB/f.u.

```
data_SrPmAl4
_symmetry_space_group_name_H-M 'F -4 3 m'
_symmetry_Int_Tables_number 216
_symmetry_space_group_name_Hall 'F -4 2 3'
_cell_length_a 8.1192
_cell_length_b 8.1192
_cell_length_c 8.1192
_cell_angle_alpha 90.00
_cell_angle_beta 90.00
_cell_angle_gamma 90.00
loop_
_atom_site_label
_atom_site_fract_x
_atom_site_fract_y
_atom_site_fract_z
Sr1 0.0000 0.0000 0.0000
Pm1 0.2500 0.2500 0.7500
Al1 0.1245 0.1245 0.3755
```

(3)
Material: PaTiPb
Method: DFT, PBE
State: optimized geometry

Calculated values
Energy above the lowest structure with this stoichiometry   0.140 eV/atom
ΔE_f   355 meV per atom
Size of the total moment   0.00 μB/f.u.

```
data_PaTiPb
_symmetry_space_group_name_H-M 'F m m m'
_symmetry_Int_Tables_number 69
_symmetry_space_group_name_Hall '-F 2 2'
_cell_length_a 6.2598
_cell_length_b 9.7568
_cell_length_c 10.1100
_cell_angle_alpha 90.00
_cell_angle_beta 90.00
_cell_angle_gamma 90.00
loop_
_atom_site_label
_atom_site_fract_x
_atom_site_fract_y
_atom_site_fract_z
Pa1 0.0000 0.2494 0.0000
Ti1 0.2461 0.0000 0.5000
Pb1 0.0000 0.0000 0.2493
```

(4)
Material: Sm4YHo10
Method: DFT, PBE
State: optimized geometry

Calculated values
ΔE_f   574 meV per atom
Size of the total moment   0.00 μB/f.u.

```
data_Sm4YHo10
_symmetry_space_group_name_H-M 'I 4/m'
_symmetry_Int_Tables_number 87
_symmetry_space_group_name_Hall '-I 4'
_cell_length_a 12.9145
_cell_length_b 12.9145
_cell_length_c 6.4172
_cell_angle_alpha 90.00
_cell_angle_beta 90.00
_cell_angle_gamma 90.00
loop_
_atom_site_label
_atom_site_fract_x
_atom_site_fract_y
_atom_site_fract_z
Sm1 0.0675 0.8298 0.0000
Y1 0.0000 0.0000 0.5000
Ho1 0.0000 0.5000 0.2500
Ho2 0.1291 0.2927 0.2512
```

(5)
Material: LiNb2GaFe
Method: DFT, PBE
State: optimized geometry

Calculated values
ΔE_f   542 meV per atom
Size of the total moment   0.00 μB/f.u.

```
data_LiNb2GaFe
_symmetry_space_group_name_H-M 'P 4/m m m'
_symmetry_Int_Tables_number 123
_symmetry_space_group_name_Hall '-P 4 2'
_cell_length_a 4.5760
_cell_length_b 4.5760
_cell_length_c 4.5767
_cell_angle_alpha 90.00
_cell_angle_beta 90.00
_cell_angle_gamma 90.00
loop_
_atom_site_label
_atom_site_fract_x
_atom_site_fract_y
_atom_site_fract_z
Li1 0.0000 0.0000 0.0000
Nb1 0.0000 0.5000 0.5000
Ga1 0.5000 0.5000 0.0000
Fe1 0.5000 0.5000 0.5000
```

(6)
Material: CaP2Rh
Method: DFT, PBE
State: optimized geometry

Calculated values
Energy above the lowest structure with this stoichiometry   0.206 eV/atom
ΔE_f   -618 meV per atom
Size of the total moment   0.00 μB/f.u.

```
data_CaP2Rh
_symmetry_space_group_name_H-M 'P 1 m 1'
_symmetry_Int_Tables_number 6
_cell_length_a 4.5385
_cell_length_b 3.7111
_cell_length_c 4.6770
_cell_angle_alpha 90.00
_cell_angle_beta 102.01
_cell_angle_gamma 90.00
loop_
_symmetry_equiv_pos_as_xyz
'x,y,z'
'x,-y,z'
loop_
_atom_site_label
_atom_site_fract_x
_atom_site_fract_y
_atom_site_fract_z
Ca1 0.0000 0.0000 0.0000
P1 0.0923 0.5000 0.5240
P2 0.4262 0.0000 0.6184
Rh1 0.5753 0.5000 0.3799
```

Number 1: density of states at the Fermi level 0.372 states/eV/atom. Number 2: density of states at the Fermi level 0.527 states/eV/atom. Number 3: density of states at the Fermi level 1.885 states/eV/atom. Number 4: density of states at the Fermi level 1.722 states/eV/atom. Number 5: density of states at the Fermi level 1.215 states/eV/atom. Number 6: density of states at the Fermi level 0.233 states/eV/atom.